Record 1
Entry from the Alexandria database: crystalline La2NdPd at its relaxed geometry (GGA-PBE).

Results
The value obtained for the size of the total moment is 0.000 μB per cell. Its calculated formation energy is -0.413 eV per atom. Its crystal system is orthorhombic. The polymorph energy (0 for the lowest one) comes out at 0.0 kJ/mol of atoms.

abc: 7.3512 10.3463 6.6507
angles: 90.00 90.00 90.00
Sites, in units of the cell vectors:
La  0.1785  0.0605  0.1660
La  0.1785  0.4395  0.1660
La  0.3215  0.5605  0.6660
La  0.3215  0.9395  0.6660
La  0.6785  0.0605  0.3340
La  0.6785  0.4395  0.3340
La  0.8215  0.5605  0.8340
La  0.8215  0.9395  0.8340
Nd  0.0258  0.2500  0.6493
Nd  0.4742  0.7500  0.1493
Nd  0.5258  0.2500  0.8507
Nd  0.9742  0.7500  0.3507
Pd  0.1187  0.7500  0.9181
Pd  0.3813  0.2500  0.4181
Pd  0.6187  0.7500  0.5819
Pd  0.8813  0.2500  0.0819

Record 2
Entry from the Alexandria database: crystalline Rb2CuI8 at its relaxed geometry (GGA-PBE).

Results
The value obtained for the size of the total moment is 0.000 μB per cell. For the energy relative to the elements, uncorrected, the calculation gives -512 meV/atom. Its crystal system is monoclinic.

abc: 9.0357 9.0357 9.1317
angles: 103.98 103.98 55.04
Sites, in units of the cell vectors:
Rb  0.1733  0.1733  0.3143
Rb  0.8267  0.8267  0.6857
Cu  0.5000  0.5000  0.5000
I  0.0680  0.0680  0.9044
I  0.2087  0.2087  0.7411
I  0.3844  0.3844  0.6724
I  0.3895  0.3895  0.2474
I  0.6105  0.6105  0.7526
I  0.6156  0.6156  0.3276
I  0.7913  0.7913  0.2589
I  0.9320  0.9320  0.0956

Record 3
Entry from the Alexandria database: crystalline IrRu3 at its relaxed geometry (GGA-PBE).

Results
The value obtained for the size of the total moment is 0.001 μB per cell. Its calculated formation energy is 0.033 eV per atom. Its crystal system is cubic.

abc: 3.8326 3.8326 3.8326
angles: 90.00 90.00 90.00
Sites, in units of the cell vectors:
Ir  0.0000  0.0000  0.0000
Ru  0.0000  0.5000  0.5000
Ru  0.5000  0.0000  0.5000
Ru  0.5000  0.5000  0.0000